The following is a GGA+U calculation of a relaxed structure of Rb4NaW3O12, from the Alexandria database.

## Properties
Size of the total moment: 1.06 μB/cell
Raw total energy: -122.5 eV for the cell shown

a b c (Å): 7.193 7.193 7.193
angles (deg): 109.47 109.47 109.47
Positions (direct):
Rb: 0.000 0.000 0.500
Rb: 0.000 0.500 0.000
Rb: 0.500 0.000 0.000
Rb: 0.500 0.500 0.500
Na: 0.000 0.000 0.000
W: 0.000 0.500 0.500
W: 0.500 0.000 0.500
W: 0.500 0.500 0.000
O: 0.000 0.278 0.278
O: 0.000 0.722 0.722
O: 0.250 0.500 0.750
O: 0.250 0.750 0.500
O: 0.278 0.000 0.278
O: 0.278 0.278 0.000
O: 0.500 0.250 0.750
O: 0.500 0.750 0.250
O: 0.722 0.000 0.722
O: 0.722 0.722 0.000
O: 0.750 0.250 0.500
O: 0.750 0.500 0.250